No. 1
{"formula": "PmDySnBi", "functional": "PBE", "state": "relaxed", "cell": [[5.4984, 0.0000, 0.0000], [2.7492, 4.7617, 0.0000], [2.7492, 1.5872, 4.4894]], "species": ["Pm", "Bi", "Sn", "Dy"], "frac_coords": [[0.7500, 0.7500, 0.7500], [0.5000, 0.5000, 0.5000], [0.0000, 0.0000, 0.0000], [0.2500, 0.2500, 0.2500]], "dos_ef_per_ev_cell": 6.1, "formation_enthalpy_0k_ev_per_fu": -2.2}

---

No. 2
{"formula": "HfTa2HgRu", "functional": "PBE", "state": "relaxed", "cell": [[4.9818, 0.0000, 0.0000], [0.0000, 4.6728, 0.0000], [0.0000, 0.0000, 4.9818]], "species": ["Ru", "Hf", "Hg", "Ta", "Ta"], "frac_coords": [[0.0000, 0.5000, 0.0000], [0.0000, 0.0000, 0.0000], [0.5000, 0.5000, 0.5000], [0.0000, 0.0000, 0.5000], [0.5000, 0.0000, 0.0000]], "dos_ef_per_ev_cell": 5.9, "formation_enthalpy_0k_ev_per_fu": 8.5}

---

Please write out number 2 again, unchanged.
{"formula": "HfTa2HgRu", "functional": "PBE", "state": "relaxed", "cell": [[4.9818, 0.0000, 0.0000], [0.0000, 4.6728, 0.0000], [0.0000, 0.0000, 4.9818]], "species": ["Ru", "Hf", "Hg", "Ta", "Ta"], "frac_coords": [[0.0000, 0.5000, 0.0000], [0.0000, 0.0000, 0.0000], [0.5000, 0.5000, 0.5000], [0.0000, 0.0000, 0.5000], [0.5000, 0.0000, 0.0000]], "dos_ef_per_ev_cell": 5.9, "formation_enthalpy_0k_ev_per_fu": 8.5}